Record 1
The following is a DFT calculation (PBE) of MgMoBr2 after structural relaxation.

For the density of states at the Fermi level, the calculation gives 0.4570 states/eV per atom. The theoretical density is 4788 kg/m3. Its energy relative to the elements, uncorrected is 0.22 eV/atom. The energy above the most stable polymorph in this dataset comes out at 439 meV/atom.

Lattice parameters (Å, degrees): 3.4248 3.4248 10.0096 90.00 90.00 124.18
Last column: nearest neighbours and their distance in Å.
Fractional positions:
Mg1 0.0000 0.0000 0.0000  6 Mg 3.21-3.42, 4 Br 3.36
Mo1 0.0000 0.0000 0.5000  4 Br 2.60
Br1 0.5000 0.5000 0.2949  2 Mo 2.60
Br2 0.5000 0.5000 0.7051  2 Mo 2.60



Record 2
The following is a DFT calculation (PBE) of GaRu3W after structural relaxation.

For the density of states at the Fermi level, the calculation gives 0.9772 states/eV per atom. The theoretical density is 10465 kg/m3. The energy above the most stable polymorph in this dataset comes out at 0 meV/atom.

Lattice parameters (Å, degrees): 4.4538 4.4538 4.4538 90.00 90.00 90.00
Last column: nearest neighbours and their distance in Å.
Fractional positions:
Ga1 0.0000 0.0000 0.0000  6 Ru 2.23
Ru1 0.0000 0.0000 0.5000  2 Ga 2.23
Ru2 0.0000 0.5000 0.0000  2 Ga 2.23
Ru3 0.5000 0.0000 0.0000  2 Ga 2.23
W1 0.5000 0.5000 0.5000  12 Ru 3.15